# Ca2AsI (PBEsol, relaxed)
data_Ca2AsI
_symmetry_space_group_name_H-M 'R -3 m'
_symmetry_Int_Tables_number 166
_symmetry_space_group_name_Hall '-R 3 2"'
_cell_length_a 4.3308
_cell_length_b 4.3308
_cell_length_c 22.0361
_cell_angle_alpha 90.00
_cell_angle_beta 90.00
_cell_angle_gamma 120.00
loop_
_atom_site_label
_atom_site_type_symbol
_atom_site_fract_x
_atom_site_fract_y
_atom_site_fract_z
Ca1 Ca 0.0000 0.0000 0.2320
As1 As 0.0000 0.0000 0.5000
I1 I 0.0000 0.0000 0.0000
# Spin magnetization (μB/cell): 0.00
# Formation energy from raw total energies (kJ/mol of formula units): -547

---

# YFe3As (PBEsol, relaxed)
data_YFe3As
_symmetry_space_group_name_H-M 'P m -3 m'
_symmetry_Int_Tables_number 221
_symmetry_space_group_name_Hall '-P 4 2 3'
_cell_length_a 4.3967
_cell_length_b 4.3967
_cell_length_c 4.3967
_cell_angle_alpha 90.00
_cell_angle_beta 90.00
_cell_angle_gamma 90.00
loop_
_atom_site_label
_atom_site_type_symbol
_atom_site_fract_x
_atom_site_fract_y
_atom_site_fract_z
Y1 Y 0.0000 0.0000 0.0000
Fe1 Fe 0.0000 0.5000 0.5000
As1 As 0.5000 0.5000 0.5000
# Fermi-level density of states (states/eV/cell): 4.3
# Spin magnetization (μB/cell): 5.88
# Formation enthalpy at 0 K (meV/atom): 253.4

---

# MnAlFe (PBEsol, relaxed)
data_MnAlFe
_symmetry_space_group_name_H-M 'I 4 m m'
_symmetry_Int_Tables_number 107
_symmetry_space_group_name_Hall 'I 4 -2'
_cell_length_a 2.6563
_cell_length_b 2.6563
_cell_length_c 9.4287
_cell_angle_alpha 90.00
_cell_angle_beta 90.00
_cell_angle_gamma 90.00
loop_
_atom_site_label
_atom_site_type_symbol
_atom_site_fract_x
_atom_site_fract_y
_atom_site_fract_z
Mn1 Mn 0.0000 0.0000 0.0000
Al1 Al 0.0000 0.0000 0.6794
Fe1 Fe 0.0000 0.0000 0.3519
# Fermi-level density of states (states/eV/cell): 4.4
# Spin magnetization (μB/cell): 0.39
# Formation enthalpy at 0 K (meV/atom): -203.2